Entry from the Open Quantum Materials Database: CsWAuSe2S after structural relaxation (PBE).

Values from the calculation:
E_tot: -4.93 eV per atom
crystal system: orthorhombic
volume: 26.84 A^3/atom
M_tot: 2.00 μB/f.u.

abc: 3.9712 16.3390 9.9278
angles: 90.00 90.00 90.00
Space group Cmcm (No. 63)
One atom of each set of equivalent atoms:
Cs 0.0000 0.2453 0.2500 [4 per cell]
W 0.0000 0.0000 0.0000 [4 per cell]
Au 0.0000 0.4512 0.7500 [4 per cell]
Se 0.0000 0.3921 0.5169 [8 per cell]
S 0.0000 0.0516 0.7500 [4 per cell]